Here is a geometry-optimized Ca4Ag3Hg2 structure from the Alexandria database. Energies are from PBE.

Properties
DFT total energy: -20.28 eV/cell
space-group type: No. 12
DOS(E_F): 6.5 states/eV per cell

Geometry as extended XYZ:
```
9
Lattice="-4.3055 2.8560 -0.1398 -4.6108 -2.2415 0.6651 0.6715 1.4910 9.7918" Properties=species:S:1:pos:R:3 pbc="T T T"
Ag -5.6003 1.1736 5.3717
Ag 0.0000 0.0000 0.0000
Ag -2.6445 0.9319 4.9454
Ca -2.8970 0.3705 1.2468
Ca -5.3478 1.7351 9.0703
Ca -3.8608 3.8459 6.3987
Ca -4.3841 -1.7404 3.9184
Hg -5.7987 0.7308 2.4289
Hg -2.4461 1.3747 7.8883
```


Here is a geometry-optimized TlTcBr2 structure from the Alexandria database. Energies are from PBE.

Properties
DFT total energy: -15.73 eV/cell
space-group type: No. 12
DOS(E_F): 3.2 states/eV per cell

Geometry as extended XYZ:
```
4
Lattice="-3.8919 3.5048 5.3767 -3.1783 0.6237 6.7712 3.2647 2.4632 3.4182" Properties=species:S:1:pos:R:3 pbc="T T T"
Tc -2.8541 4.9438 11.6745
Br 2.2048 2.6369 4.3196
Br -0.8428 3.1221 6.8816
Tl -0.9514 1.6479 3.8915
```


Here is a geometry-optimized CdOsPb2 structure from the Alexandria database. Energies are from PBE.

Properties
DFT total energy: -17.49 eV/cell
space-group type: No. 123
DOS(E_F): 2.6 states/eV per cell

Geometry as extended XYZ:
```
4
Lattice="3.3053 -0.0059 0.0000 0.0065 3.3054 0.0000 0.0000 0.0000 9.1181" Properties=species:S:1:pos:R:3 pbc="T T T"
Cd 1.6559 1.6497 2.2795
Pb 0.0000 0.0000 8.5963
Pb 0.0000 0.0000 5.0809
Os 1.6559 1.6497 6.8386
```


Here is a geometry-optimized PbAu2 structure from the Alexandria database. Energies are from PBE.

Properties
DFT total energy: -20.48 eV/cell
space-group type: No. 63
DOS(E_F): 1.4 states/eV per cell

Geometry as extended XYZ:
```
6
Lattice="-1.4782 -4.5161 5.5974 4.4656 2.5644 -5.2339 1.9229 3.5752 3.3924" Properties=species:S:1:pos:R:3 pbc="T T T"
Au 4.4309 2.5232 -5.1707
Au 0.5264 -2.1282 1.9445
Au 0.7808 -1.1828 4.9291
Au 2.8200 1.2464 1.2131
Pb 2.4888 0.2095 -1.6315
Pb 4.7622 3.5600 -2.3261
```


Here is a geometry-optimized Li2BeRh structure from the Alexandria database. Energies are from PBE.

Properties
DFT total energy: -28.95 eV/cell
space-group type: No. 122
DOS(E_F): 2.2 states/eV per cell

Geometry as extended XYZ:
```
8
Lattice="6.6284 0.0000 0.0000 0.0000 6.6284 0.0000 3.3142 3.3142 2.2373" Properties=species:S:1:pos:R:3 pbc="T T T"
Li 1.7871 4.9713 0.5593
Li 8.2855 8.1554 1.6780
Li 4.8413 1.6571 0.5593
Li 4.9713 5.1013 1.6780
Be 3.3142 3.3142 0.0000
Be 3.3142 6.6284 1.1187
Rh 6.6284 3.3142 1.1187
Rh 0.0000 0.0000 0.0000
```


Here is a geometry-optimized BaBiSeBr2 structure from the Alexandria database. Energies are from PBE.

Properties
DFT total energy: -17.20 eV/cell
space-group type: No. 123
DOS(E_F): 1.5 states/eV per cell

Geometry as extended XYZ:
```
5
Lattice="5.7500 0.0000 0.0000 0.0000 5.7500 0.0000 0.0000 0.0000 5.8494" Properties=species:S:1:pos:R:3 pbc="T T T"
Bi 0.0000 0.0000 0.0000
Ba 2.8750 2.8750 2.9247
Se 0.0000 0.0000 2.9247
Br 2.8750 0.0000 0.0000
Br 0.0000 2.8750 0.0000
```


Here is a geometry-optimized SmEuPdRu structure from the Alexandria database. Energies are from PBE.

Properties
DFT total energy: -30.66 eV/cell
space-group type: No. 216
DOS(E_F): 10.3 states/eV per cell

Geometry as extended XYZ:
```
4
Lattice="-0.3453 -4.8796 0.9872 4.0946 -2.8524 -0.0534 1.8309 -1.8172 4.2720" Properties=species:S:1:pos:R:3 pbc="T T T"
Ru 4.1852 -7.1620 3.9043
Eu 2.7901 -4.7746 2.6029
Sm 0.0000 0.0000 0.0000
Pd 1.3951 -2.3873 1.3014
```


Here is a geometry-optimized Te2PdRu structure from the Alexandria database. Energies are from PBE.

Properties
DFT total energy: -41.26 eV/cell
space-group type: No. 122
DOS(E_F): 4.9 states/eV per cell

Geometry as extended XYZ:
```
8
Lattice="5.9950 0.0000 0.0000 0.0000 5.9950 0.0000 2.9975 2.9975 5.9527" Properties=species:S:1:pos:R:3 pbc="T T T"
Ru 2.9975 2.9975 0.0000
Ru 2.9975 5.9950 2.9763
Te 1.5863 4.4963 1.4882
Te 4.4087 1.4988 1.4882
Te 4.4963 4.5838 4.4645
Te 7.4938 7.4062 4.4645
Pd 5.9950 2.9975 2.9763
Pd 0.0000 0.0000 0.0000
```


| no. | V (Å³/f.u.) |
| --- | --- |
| 1 | 229.74 |
| 2 | 119.13 |
| 3 | 99.62 |
| 4 | 67.55 |
| 5 | 49.15 |
| 6 | 193.40 |
| 7 | 87.88 |
| 8 | 106.97 |